A plane-wave DFT calculation with PBE was carried out for crystalline Ga4Co at its relaxed geometry.

Structure (extended XYZ):
```
10
Lattice="5.553 0.000 0.000 0.000 5.553 0.000 0.000 0.000 5.558" Properties=species:S:1:pos:R:3 pbc="T T T"
Ga 1.308 1.469 1.389
Ga 1.308 1.469 4.168
Ga 1.469 4.245 1.389
Ga 1.469 4.245 4.168
Ga 4.084 1.308 1.389
Ga 4.084 1.308 4.168
Ga 4.245 4.084 1.389
Ga 4.245 4.084 4.168
Co 0.000 0.000 0.000
Co 2.776 2.776 2.779
```

## Properties
Total magnetization ... 0.0 μB per cell
Space group ... P4/mnc, No. 128
Energy above the most stable polymorph in this dataset ... 0 meV/atom
Calculated total energy ... -39.75 eV for the cell shown
Formation energy ... -0.66 eV/f.u.